A relaxed NiI3N crystal. Source: Alexandria via LeMat-Bulk, functional PBE.

a b c (Å): 4.994 4.994 4.994
angles (deg): 90.00 90.00 90.00
Fractional coordinates of all 5 atoms:
Ni (0.000, 0.000, 0.000)
I (0.000, 0.500, 0.500)
I (0.500, 0.000, 0.500)
I (0.500, 0.500, 0.000)
N (0.500, 0.500, 0.500)

Calculated values
Magnetic moment (μB/f.u.): 1.3
Formation energy (no corrections) (eV per atom): 1.3584
Polymorph energy (0 for the lowest one) (eV per atom): 0.221